Below is LaEr2Zr after structural relaxation, with properties calculated at the GGA-PBE level.

Lattice parameters (Å, degrees): 3.462 3.462 11.569 81.39 81.39 60.00
Sites, in units of the cell vectors:
Zr1 0.000 0.000 0.000
Er1 0.743 0.743 0.770
La1 0.500 0.500 0.500
Er2 0.257 0.257 0.230

Calculated values
Space group: R-3m
Total energy (eV/atom): -5.5684
Offset from the most stable computed form (meV/atom): 0
Spin magnetization (μB per atom): 0.00
Energy of formation from the pure elements (eV per atom): 0.0819

Below is Ni2GeS after structural relaxation, with properties calculated at the GGA-PBE level.

Lattice parameters (Å, degrees): 4.294 4.294 7.369 73.06 73.06 90.00
Sites, in units of the cell vectors:
Ni1 0.562 0.125 0.250
Ni2 0.875 0.812 0.750
Ge1 0.000 0.000 0.000
Ni3 0.375 0.438 0.750
Ni4 0.188 0.625 0.250
Ge2 0.750 0.250 0.500
S1 0.250 0.750 0.500
S2 0.500 0.500 0.000

Calculated values
Formation energy (no corrections) (eV per atom): -0.143
Space group: I-42d
Total energy (eV/atom): -5.2199
Offset from the most stable computed form (meV/atom): 0
Spin magnetization (μB per atom): 0.00

Below is TbDy2Ho8 after structural relaxation, with properties calculated at the GGA-PBE level.

Lattice parameters (Å, degrees): 5.515 10.023 10.023 40.22 92.75 92.75
Sites, in units of the cell vectors:
Dy1 0.749 0.284 0.284
Ho1 0.268 0.602 0.134
Tb1 0.000 0.000 0.000
Dy2 0.251 0.716 0.716
Ho2 0.732 0.398 0.866
Ho3 0.767 0.813 0.813
Ho4 0.732 0.866 0.398
Ho5 0.236 0.547 0.547
Ho6 0.268 0.134 0.602
Ho7 0.764 0.453 0.453
Ho8 0.233 0.187 0.187

Calculated values
Space group: C2/m
Total energy (eV/atom): -4.4236
Offset from the most stable computed form (meV/atom): 47
Spin magnetization (μB per atom): 0.00
Energy of formation from the pure elements (eV per atom): 0.1634

Below is BaLaCl after structural relaxation, with properties calculated at the GGA-PBE level.

Lattice parameters (Å, degrees): 5.279 5.279 5.279 60.00 60.00 60.00
Sites, in units of the cell vectors:
La1 0.000 0.000 0.000
Cl1 0.750 0.750 0.750
Ba1 0.500 0.500 0.500

Calculated values
Formation energy (no corrections) (eV per atom): -0.603
Space group: F-43m
Total energy (eV/atom): -3.5021
Offset from the most stable computed form (meV/atom): 340
Spin magnetization (μB per atom): 0.40

Below is CeNiPt3 after structural relaxation, with properties calculated at the GGA-PBE level.

Lattice parameters (Å, degrees): 5.126 5.248 5.230 119.88 90.02 69.06
Sites, in units of the cell vectors:
Pt1 0.000 0.000 0.500
Pt2 0.000 0.500 0.000
Ni1 0.000 0.000 0.000
Pt3 0.000 0.500 0.500
Ce1 0.500 0.000 0.000

Calculated values
Space group: C2/m
Total energy (eV/atom): -6.3594
Offset from the most stable computed form (meV/atom): 0
Spin magnetization (μB per atom): 0.11
Energy of formation from the pure elements (eV per atom): -0.3918

Below is ZrCdCl2 after structural relaxation, with properties calculated at the GGA-PBE level.

Lattice parameters (Å, degrees): 7.609 7.609 7.609 155.74 145.20 42.87
Sites, in units of the cell vectors:
Cd1 0.326 0.826 0.500
Cl1 0.993 0.993 0.000
Cl2 0.664 0.164 0.500
Zr1 0.517 0.517 0.000

Calculated values
Formation energy (no corrections) (eV per atom): -0.734
Space group: Imm2
Total energy (eV/atom): -4.0236
Offset from the most stable computed form (meV/atom): 338
Spin magnetization (μB per atom): 0.19

Below is Mg2AuCl after structural relaxation, with properties calculated at the GGA-PBE level.

Lattice parameters (Å, degrees): 4.985 4.985 4.985 60.00 60.00 60.00
Sites, in units of the cell vectors:
Mg1 0.000 0.000 0.000
Cl1 0.250 0.250 0.250
Mg2 0.750 0.750 0.750
Au1 0.500 0.500 0.500

Calculated values
Formation energy (no corrections) (eV per atom): -0.057
Space group: F-43m
Total energy (eV/atom): -2.1353
Offset from the most stable computed form (meV/atom): 794
Spin magnetization (μB per atom): 0.00

Below is Rb2NaBi2Pb after structural relaxation, with properties calculated at the GGA-PBE level.

Lattice parameters (Å, degrees): 7.538 7.610 10.267 111.75 111.54 90.00
Sites, in units of the cell vectors:
Rb1 0.416 0.170 0.341
Bi1 0.632 0.394 0.789
Bi2 0.368 0.606 0.211
Na1 0.000 0.750 0.000
Bi3 0.156 0.894 0.789
Rb2 0.924 0.670 0.341
Rb3 0.584 0.830 0.659
Pb1 0.500 0.750 0.000
Na2 0.000 0.250 0.000
Pb2 0.500 0.250 0.000
Bi4 0.844 0.106 0.211
Rb4 0.076 0.330 0.659

Calculated values
Space group: Ibam
Total energy (eV/atom): -2.7844
Spin magnetization (μB per atom): 0.00
Energy of formation from the pure elements (eV per atom): -0.3303

Below is TcWAu after structural relaxation, with properties calculated at the GGA-PBE level.

Lattice parameters (Å, degrees): 4.538 4.538 2.723 90.00 90.00 120.00
Sites, in units of the cell vectors:
Tc1 0.667 0.333 0.399
Au1 0.000 0.000 0.989
W1 0.333 0.667 0.612

Calculated values
Space group: P3m1
Total energy (eV/atom): -8.5263
Offset from the most stable computed form (meV/atom): 63
Spin magnetization (μB per atom): 0.00
Energy of formation from the pure elements (eV per atom): 0.3392

Below is TbVB after structural relaxation, with properties calculated at the GGA-PBE level.

Lattice parameters (Å, degrees): 3.523 3.522 16.641 90.00 90.00 90.00
Sites, in units of the cell vectors:
B1 0.750 0.752 0.835
Tb1 0.750 0.749 0.094
B2 0.750 0.748 0.335
B3 0.250 0.252 0.665
B4 0.250 0.248 0.165
Tb2 0.250 0.251 0.906
V1 0.250 0.748 0.250
V2 0.250 0.752 0.750
Tb3 0.250 0.249 0.406
Tb4 0.750 0.751 0.594
V3 0.750 0.248 0.250
V4 0.750 0.252 0.750

Calculated values
Space group: Pnma
Total energy (eV/atom): -7.0650
Spin magnetization (μB per atom): 0.00
Energy of formation from the pure elements (eV per atom): -0.2563

Below is Be2HSe after structural relaxation, with properties calculated at the GGA-PBE level.

Lattice parameters (Å, degrees): 3.756 3.870 7.883 87.48 87.96 64.38
Sites, in units of the cell vectors:
Be1 0.945 0.179 0.107
Be2 0.433 0.214 0.232
H1 0.588 0.518 0.150
Se1 0.310 0.319 0.506
Se2 0.006 0.842 0.871
H2 0.850 0.948 0.233
Be3 0.956 0.994 0.594
Be4 0.508 0.843 0.021

Calculated values
Space group: P1
Total energy (eV/atom): -3.7598
Offset from the most stable computed form (meV/atom): 55
Spin magnetization (μB per atom): 0.00

Below is Ca2YTe4 after structural relaxation, with properties calculated at the GGA-PBE level.

Lattice parameters (Å, degrees): 4.236 7.662 15.184 90.00 90.00 106.05
Sites, in units of the cell vectors:
Te1 0.789 0.579 0.124
Te2 0.211 0.421 0.876
Te3 0.500 0.000 0.500
Ca1 0.136 0.273 0.428
Y1 0.619 0.238 0.750
Te4 0.789 0.579 0.376
Te5 0.967 0.934 0.750
Te6 0.033 0.066 0.250
Te7 0.211 0.421 0.624
Ca2 0.864 0.727 0.572
Te8 0.500 0.000 0.000
Ca3 0.136 0.273 0.072
Y2 0.381 0.762 0.250
Ca4 0.864 0.727 0.928

Calculated values
Formation energy (no corrections) (eV per atom): -1.306
Space group: Cmcm
Total energy (eV/atom): -4.5967
Offset from the most stable computed form (meV/atom): 0
Spin magnetization (μB per atom): 0.00

Below is Tb3Ge2H after structural relaxation, with properties calculated at the GGA-PBE level.

Lattice parameters (Å, degrees): 5.782 8.101 7.018 106.74 114.33 90.00
Sites, in units of the cell vectors:
Tb1 0.532 0.750 0.000
Tb2 0.164 0.084 0.333
Tb3 0.832 0.416 0.667
Tb4 0.468 0.250 0.000
H1 0.046 0.250 0.000
Ge1 0.338 0.918 0.671
Ge2 0.662 0.082 0.329
Ge3 0.668 0.582 0.329
Tb5 0.168 0.584 0.333
H2 0.954 0.750 0.000
Ge4 0.332 0.418 0.671
Tb6 0.836 0.916 0.667

Calculated values
Space group: C2/c
Total energy (eV/atom): -5.0167
Spin magnetization (μB per atom): 0.00

Below is LiTm5Pb6 after structural relaxation, with properties calculated at the GGA-PBE level.

Lattice parameters (Å, degrees): 4.835 10.010 9.120 56.72 74.58 61.03
Sites, in units of the cell vectors:
Pb1 0.747 0.754 0.000
Tm1 0.500 0.156 0.689
Tm2 0.500 0.844 0.311
Pb2 0.253 0.246 0.000
Pb3 0.249 0.585 0.333
Pb4 0.249 0.918 0.667
Tm3 0.000 0.667 0.667
Pb5 0.751 0.082 0.333
Tm4 0.000 0.333 0.333
Tm5 0.500 0.500 0.000
Li1 0.000 0.000 0.000
Pb6 0.751 0.415 0.667

Calculated values
Space group: C2/m
Total energy (eV/atom): -4.2396
Offset from the most stable computed form (meV/atom): 4
Spin magnetization (μB per atom): 0.00
Energy of formation from the pure elements (eV per atom): -0.3628

Below is MgTlGa2Ni after structural relaxation, with properties calculated at the GGA-PBE level.

Lattice parameters (Å, degrees): 5.262 5.272 5.262 90.00 90.00 90.00
Sites, in units of the cell vectors:
Ga1 0.000 0.000 0.500
Ni1 0.500 0.500 0.500
Tl1 0.000 0.000 0.000
Mg1 0.000 0.500 0.000
Ga2 0.500 0.000 0.000

Calculated values
Space group: P4/mmm
Total energy (eV/atom): -2.0994
Offset from the most stable computed form (meV/atom): 1168
Spin magnetization (μB per atom): 0.00
Energy of formation from the pure elements (eV per atom): 1.0598

Below is Cr2ReW after structural relaxation, with properties calculated at the GGA-PBE level.

Lattice parameters (Å, degrees): 2.650 2.650 8.392 90.00 90.00 110.32
Sites, in units of the cell vectors:
Cr1 0.000 0.000 0.014
Cr2 0.500 0.500 0.238
Re1 0.000 0.000 0.487
W1 0.500 0.500 0.761

Calculated values
Space group: Cmm2
Total energy (eV/atom): -11.0457
Spin magnetization (μB per atom): 0.00
Energy of formation from the pure elements (eV per atom): 0.1163

Below is TePd9Pt2 after structural relaxation, with properties calculated at the GGA-PBE level.

Lattice parameters (Å, degrees): 4.013 4.013 11.860 90.00 90.00 90.00
Sites, in units of the cell vectors:
Pd1 0.500 0.500 0.000
Pd2 0.500 0.500 0.335
Pd3 0.000 0.500 0.828
Te1 0.000 0.000 0.000
Pd4 0.500 0.500 0.665
Pt1 0.000 0.000 0.340
Pt2 0.000 0.000 0.660
Pd5 0.500 0.000 0.500
Pd6 0.500 0.000 0.172
Pd7 0.500 0.000 0.828
Pd8 0.000 0.500 0.500
Pd9 0.000 0.500 0.172

Calculated values
Formation energy (no corrections) (eV per atom): -0.081
Space group: P4/mmm
Total energy (eV/atom): -5.2438
Spin magnetization (μB per atom): 0.00

Below is CeDyTlGa after structural relaxation, with properties calculated at the GGA-PBE level.

Lattice parameters (Å, degrees): 5.291 5.291 5.291 60.00 60.00 60.00
Sites, in units of the cell vectors:
Ga1 0.250 0.250 0.250
Dy1 0.000 0.000 0.000
Tl1 0.750 0.750 0.750
Ce1 0.500 0.500 0.500

Calculated values
Space group: F-43m
Total energy (eV/atom): -4.3467
Offset from the most stable computed form (meV/atom): 45
Spin magnetization (μB per atom): 0.24
Energy of formation from the pure elements (eV per atom): -0.3644

Below is LiSc2Te after structural relaxation, with properties calculated at the GGA-PBE level.

Lattice parameters (Å, degrees): 4.988 4.988 4.988 60.00 60.00 60.00
Sites, in units of the cell vectors:
Sc1 0.250 0.250 0.250
Te1 0.750 0.750 0.750
Li1 0.500 0.500 0.500
Sc2 0.000 0.000 0.000

Calculated values
Formation energy (no corrections) (eV per atom): -0.072
Space group: F-43m
Total energy (eV/atom): -4.5018
Spin magnetization (μB per atom): 0.39

Below is SrReIr after structural relaxation, with properties calculated at the GGA-PBE level.

Lattice parameters (Å, degrees): 5.882 4.483 5.238 90.00 75.23 90.00
Sites, in units of the cell vectors:
Re1 0.990 0.091 0.853
Ir1 0.020 0.591 0.587
Ir2 0.882 0.091 0.394
Re2 0.911 0.591 0.129
Sr1 0.404 0.091 0.244
Sr2 0.497 0.591 0.737

Calculated values
Space group: P2_1/m
Total energy (eV/atom): -7.5526
Offset from the most stable computed form (meV/atom): 71
Spin magnetization (μB per atom): 0.00
Energy of formation from the pure elements (eV per atom): 0.1110

Below is NaTcO3 after structural relaxation, with properties calculated at the GGA-PBE level.

Lattice parameters (Å, degrees): 17.020 5.334 6.730 90.00 158.23 90.00
Sites, in units of the cell vectors:
O1 0.771 0.991 0.270
O2 0.552 0.817 0.052
O3 0.948 0.317 0.448
Na1 0.100 0.249 0.099
Tc1 0.124 0.324 0.623
O4 0.052 0.683 0.552
O5 0.631 0.749 0.631
Na2 0.400 0.749 0.401
Na3 0.600 0.251 0.599
O6 0.369 0.251 0.369
O7 0.271 0.509 0.770
O8 0.131 0.751 0.131
Tc2 0.876 0.676 0.377
O9 0.448 0.183 0.948
Tc3 0.376 0.824 0.877
O10 0.869 0.249 0.869
Na4 0.900 0.751 0.901
Tc4 0.624 0.176 0.123
O11 0.729 0.491 0.230
O12 0.229 0.009 0.730

Calculated values
Formation energy (no corrections) (eV per atom): -1.367
Space group: P2_1/c
Total energy (eV/atom): -6.6785
Spin magnetization (μB per atom): 0.00

Below is AcInH6Ru after structural relaxation, with properties calculated at the GGA-PBE level.

Lattice parameters (Å, degrees): 4.822 4.822 4.791 90.00 90.00 60.00
Sites, in units of the cell vectors:
H1 0.050 0.474 0.227
Ru1 0.333 0.333 0.499
H2 0.474 0.475 0.227
Ac1 0.000 0.000 0.000
H3 0.051 0.475 0.773
H4 0.475 0.474 0.773
H5 0.474 0.051 0.773
In1 0.667 0.667 0.501
H6 0.475 0.050 0.227

Calculated values
Space group: P3m1
Total energy (eV/atom): -4.1980
Spin magnetization (μB per atom): 0.00

Below is ScNbTc after structural relaxation, with properties calculated at the GGA-PBE level.

Lattice parameters (Å, degrees): 5.757 4.507 9.972 90.00 124.00 90.00
Sites, in units of the cell vectors:
Nb1 0.530 0.500 0.747
Sc1 0.318 0.500 0.388
Sc2 0.150 0.000 0.541
Tc1 0.813 0.500 0.385
Nb2 0.698 0.000 0.585
Nb3 0.530 0.000 0.247
Tc2 0.979 0.000 0.210
Sc3 0.318 0.000 0.888
Tc3 0.813 0.000 0.885
Tc4 0.979 0.500 0.710
Sc4 0.150 0.500 0.041
Nb4 0.698 0.500 0.085

Calculated values
Space group: Cm
Total energy (eV/atom): -9.0767
Offset from the most stable computed form (meV/atom): 45
Spin magnetization (μB per atom): 0.00
Energy of formation from the pure elements (eV per atom): -0.1543

Below is Zr2CrAg after structural relaxation, with properties calculated at the GGA-PBE level.

Lattice parameters (Å, degrees): 5.763 5.763 5.763 147.48 130.41 60.57
Sites, in units of the cell vectors:
Zr1 0.255 0.755 0.500
Cr1 0.746 0.246 0.500
Ag1 0.520 0.520 0.000
Zr2 0.978 0.978 0.000

Calculated values
Space group: Imm2
Total energy (eV/atom): -7.1841
Offset from the most stable computed form (meV/atom): 178
Spin magnetization (μB per atom): 0.53
Energy of formation from the pure elements (eV per atom): 0.2087